Sr2AcIr | Alexandria via LeMat-Bulk | PBE-GGA | optimized geometry; magnetic moment = 0.0 μB per formula unit; DOS at the Fermi energy = 5.2 states/eV per cell; distance to the lowest polymorph of the same formula = 0.543 eV per atom; density = 5.95 Mg/m³
1.0
-0.9230 -1.2440 3.7882
2.8314 0.1538 2.9511
-2.7205 10.2498 4.9138
Sr Ac Ir
2 1 1
Cartesian
0.7350 2.6200 7.6718
-1.5471 6.5396 3.9813
0.0000 0.0000 0.0000
-0.4060 4.5798 5.8265